No. 1
Li3Be | Alexandria via LeMat-Bulk | PBE | optimized geometry; DOS at the Fermi energy = 1.18 states/eV/f.u.; VASP energy = -0.1602 Ry/atom; formation energy from the elements = 0.19 eV/atom; space-group type = Pnma (62); polymorph energy (0 for the lowest one) = 0.022 eV per atom
1.0
4.383 0.000 0.000
0.000 9.148 0.000
0.000 0.000 5.782
Li Be
12 4
direct
0.119 0.250 0.116
0.239 0.516 0.380
0.239 0.984 0.380
0.261 0.016 0.880
0.261 0.484 0.880
0.381 0.750 0.616
0.619 0.250 0.384
0.739 0.516 0.120
0.739 0.984 0.120
0.761 0.016 0.620
0.761 0.484 0.620
0.881 0.750 0.884
0.144 0.250 0.660
0.356 0.750 0.160
0.644 0.250 0.840
0.856 0.750 0.340

***

No. 2
LiBe2 | Alexandria via LeMat-Bulk | PBE | optimized geometry; DOS at the Fermi energy = 0.32 states/eV/f.u.; VASP energy = -0.2151 Ry/atom; formation energy from the elements = 0.20 eV/atom; space-group type = Cmcm (63); polymorph energy (0 for the lowest one) = 0.116 eV per atom
1.0
1.100 -6.550 0.000
1.100 6.550 0.000
0.000 0.000 4.005
Li Be
2 4
direct
0.120 0.880 0.750
0.880 0.120 0.250
0.209 0.791 0.250
0.449 0.551 0.750
0.551 0.449 0.250
0.791 0.209 0.750

***

No. 3
LiBe2 | Alexandria via LeMat-Bulk | PBE | optimized geometry; DOS at the Fermi energy = 2.10 states/eV/f.u.; VASP energy = -0.1593 Ry/atom; formation energy from the elements = 0.96 eV/atom; space-group type = Fm-3m (225); polymorph energy (0 for the lowest one) = 0.875 eV per atom
1.0
0.000 2.651 2.651
2.651 0.000 2.651
2.651 2.651 0.000
Li Be
1 2
direct
0.000 0.000 0.000
0.250 0.250 0.250
0.750 0.750 0.750

***

No. 4
LiBe6 | Alexandria via LeMat-Bulk | PBE | optimized geometry; DOS at the Fermi energy = 2.17 states/eV/f.u.; VASP energy = -0.1795 Ry/atom; formation energy from the elements = 1.03 eV/atom; space-group type = Im-3m (229); polymorph energy (0 for the lowest one) = 0.969 eV per atom
1.0
-2.877 2.877 2.877
2.877 -2.877 2.877
2.877 2.877 -2.877
Li Be
1 6
direct
0.000 0.000 0.000
0.250 0.500 0.750
0.250 0.750 0.500
0.500 0.250 0.750
0.500 0.750 0.250
0.750 0.250 0.500
0.750 0.500 0.250